(1)
The following is a PBE calculation of ErCoSi2 after structural relaxation, from the Alexandria database.

The crystal system is orthorhombic. The density of states at the Fermi level comes out at 1.91 states/eV/f.u. The value obtained for the final energy is -6.40 eV/atom.

Cell lengths 6.6959, 3.9171, 9.6934 Å; angles 90.00, 90.00, 90.00 degrees
Last column: nearest neighbours and their distance in Å.
Sites, in units of the cell vectors:
Er: 0.1549 0.2500 0.1265  9 Si 2.90-3.18, 3 Co 3.08-3.25
Er: 0.3451 0.7500 0.6265  9 Si 2.90-3.18, 3 Co 3.08-3.25
Er: 0.6549 0.2500 0.3735  9 Si 2.90-3.18, 3 Co 3.08-3.25
Er: 0.8451 0.7500 0.8735  9 Si 2.90-3.18, 3 Co 3.08-3.25
Co: 0.0088 0.7500 0.3853  5 Si 2.25-2.34
Co: 0.4912 0.2500 0.8853  5 Si 2.25-2.34
Co: 0.5088 0.7500 0.1147  5 Si 2.25-2.34
Co: 0.9912 0.2500 0.6147  5 Si 2.25-2.34
Si: 0.1549 0.2500 0.8182  2 Co 2.26-2.34, 2 Si 2.46
Si: 0.1864 0.2500 0.4264  3 Co 2.25-2.33, 2 Si 2.46
Si: 0.3136 0.7500 0.9264  3 Co 2.25-2.33, 2 Si 2.46
Si: 0.3451 0.7500 0.3182  2 Co 2.26-2.34, 2 Si 2.46
Si: 0.6549 0.2500 0.6818  2 Co 2.26-2.34, 2 Si 2.46
Si: 0.6864 0.2500 0.0736  3 Co 2.25-2.33, 2 Si 2.46
Si: 0.8136 0.7500 0.5736  3 Co 2.25-2.33, 2 Si 2.46
Si: 0.8451 0.7500 0.1818  2 Co 2.26-2.34, 2 Si 2.46

=====

(2)
The following is a PBE calculation of Er3Co6Si5 after structural relaxation, from the Alexandria database.

The crystal system is orthorhombic. The density of states at the Fermi level comes out at 8.10 states/eV/f.u. The value obtained for the final energy is -6.68 eV/atom.

Cell lengths 3.8299, 11.6119, 9.3013 Å; angles 90.00, 90.00, 90.00 degrees
Last column: nearest neighbours and their distance in Å.
Sites, in units of the cell vectors:
Er: 0.2500 0.0887 0.2450  8 Co 2.87-3.21, 6 Si 2.90-3.00
Er: 0.2500 0.4113 0.2450  8 Co 2.87-3.21, 6 Si 2.90-3.00
Er: 0.2500 0.7500 0.2521  6 Si 2.82-2.93, 6 Co 2.88-3.01
Er: 0.7500 0.2500 0.7479  6 Si 2.82-2.93, 6 Co 2.88-3.01
Er: 0.7500 0.5887 0.7550  8 Co 2.87-3.21, 6 Si 2.90-3.00
Er: 0.7500 0.9113 0.7550  8 Co 2.87-3.21, 6 Si 2.90-3.00
Co: 0.2500 0.0524 0.9033  4 Si 2.27-2.41, 1 Co 2.46
Co: 0.2500 0.2500 0.5162  4 Si 2.24-2.34
Co: 0.2500 0.2500 0.9982  4 Si 2.37, 2 Co 2.46
Co: 0.2500 0.4476 0.9033  4 Si 2.27-2.41, 1 Co 2.46
Co: 0.2500 0.5799 0.4915  4 Si 2.26-2.32
Co: 0.2500 0.9201 0.4915  4 Si 2.26-2.32
Co: 0.7500 0.0799 0.5085  4 Si 2.26-2.32
Co: 0.7500 0.4201 0.5085  4 Si 2.26-2.32
Co: 0.7500 0.5524 0.0967  4 Si 2.27-2.41, 1 Co 2.46
Co: 0.7500 0.7500 0.0018  4 Si 2.37, 2 Co 2.46
Co: 0.7500 0.7500 0.4838  4 Si 2.24-2.34
Co: 0.7500 0.9476 0.0967  4 Si 2.27-2.41, 1 Co 2.46
Si: 0.2500 0.0773 0.6462  5 Co 2.30-2.41
Si: 0.2500 0.4227 0.6462  5 Co 2.30-2.41
Si: 0.2500 0.6307 0.9881  5 Co 2.27-2.37
Si: 0.2500 0.7500 0.6096  4 Co 2.24-2.26
Si: 0.2500 0.8693 0.9881  5 Co 2.27-2.37
Si: 0.7500 0.1307 0.0119  5 Co 2.27-2.37
Si: 0.7500 0.2500 0.3904  4 Co 2.24-2.26
Si: 0.7500 0.3693 0.0119  5 Co 2.27-2.37
Si: 0.7500 0.5773 0.3538  5 Co 2.30-2.41
Si: 0.7500 0.9227 0.3538  5 Co 2.30-2.41

=====

(3)
The following is a PBE calculation of Er2CoSi3 after structural relaxation, from the Alexandria database.

The crystal system is orthorhombic. The density of states at the Fermi level comes out at 2.61 states/eV/f.u. The value obtained for the final energy is -6.18 eV/atom.

Cell lengths 7.9403, 7.9352, 5.6160 Å; angles 69.33, 69.23, 41.43 degrees
Last column: nearest neighbours and their distance in Å.
Sites, in units of the cell vectors:
Er: 0.2493 0.7507 0.7507  10 Si 3.00-3.09, 2 Co 3.02
Er: 0.2500 0.2500 0.2500  8 Si 3.00-3.01, 4 Co 3.04
Er: 0.7500 0.7500 0.7500  8 Si 3.00-3.01, 4 Co 3.04
Er: 0.7507 0.2493 0.2493  10 Si 3.00-3.09, 2 Co 3.02
Co: 0.1660 0.1660 0.8340  3 Si 2.22-2.23
Co: 0.8340 0.8340 0.1660  3 Si 2.22-2.23
Si: 0.1563 0.6717 0.3283  1 Co 2.22, 2 Si 2.36-2.37
Si: 0.3281 0.3281 0.6719  1 Co 2.23, 2 Si 2.37
Si: 0.3283 0.8437 0.1563  1 Co 2.22, 2 Si 2.36-2.37
Si: 0.6717 0.1563 0.8437  1 Co 2.22, 2 Si 2.36-2.37
Si: 0.6719 0.6719 0.3281  1 Co 2.23, 2 Si 2.37
Si: 0.8437 0.3283 0.6717  1 Co 2.22, 2 Si 2.36-2.37

=====

(4)
The following is a PBE calculation of ErCoSi3 after structural relaxation, from the Alexandria database.

The crystal system is tetragonal. The density of states at the Fermi level comes out at 1.47 states/eV/f.u. The value obtained for the final energy is -6.24 eV/atom.

Cell lengths 5.5474, 5.5474, 5.5474 Å; angles 137.37, 137.37, 61.88 degrees
Last column: nearest neighbours and their distance in Å.
Sites, in units of the cell vectors:
Er: 0.0000 0.0000 0.0000  12 Si 2.94-3.17, 5 Co 3.21-3.28
Co: 0.3451 0.3451 0.0000  5 Si 2.20-2.24
Si: 0.2428 0.7428 0.5000  2 Co 2.24
Si: 0.5760 0.5760 0.0000  1 Co 2.20
Si: 0.7428 0.2428 0.5000  2 Co 2.24

=====

(5)
The following is a PBE calculation of Er2Co5Si4 after structural relaxation, from the Alexandria database.

The crystal system is orthorhombic. The density of states at the Fermi level comes out at 5.66 states/eV/f.u. The value obtained for the final energy is -6.72 eV/atom.

Cell lengths 8.0000, 7.1096, 5.2372 Å; angles 79.18, 60.80, 40.02 degrees
Last column: nearest neighbours and their distance in Å.
Sites, in units of the cell vectors:
Er: 0.1314 0.1314 0.8686  6 Si 2.98-3.14, 10 Co 3.05-3.16
Er: 0.8686 0.8686 0.1314  6 Si 2.98-3.14, 10 Co 3.05-3.16
Co: 0.0000 0.0000 0.5000  4 Si 2.35, 2 Co 2.62
Co: 0.2500 0.2500 0.2500  4 Si 2.23
Co: 0.5000 0.5000 0.0000  4 Si 2.35, 2 Co 2.62
Co: 0.5000 0.5000 0.5000  4 Si 2.22
Co: 0.7500 0.7500 0.7500  4 Si 2.23
Si: 0.2151 0.5216 0.4784  5 Co 2.22-2.35
Si: 0.4784 0.7849 0.2151  5 Co 2.22-2.35
Si: 0.5216 0.2151 0.7849  5 Co 2.22-2.35
Si: 0.7849 0.4784 0.5216  5 Co 2.22-2.35

=====

(6)
The following is a PBE calculation of ErCoSi after structural relaxation, from the Alexandria database.

The crystal system is orthorhombic. The density of states at the Fermi level comes out at 2.14 states/eV/f.u. The value obtained for the final energy is -6.45 eV/atom.

Cell lengths 6.8069, 4.1492, 6.9292 Å; angles 90.00, 90.00, 90.00 degrees
Last column: nearest neighbours and their distance in Å.
Sites, in units of the cell vectors:
Er: 0.0150 0.2500 0.1900  4 Co 2.83-2.90, 6 Si 2.90-3.13
Er: 0.4850 0.7500 0.6900  4 Co 2.83-2.90, 6 Si 2.90-3.13
Er: 0.5150 0.2500 0.3100  4 Co 2.83-2.90, 6 Si 2.90-3.13
Er: 0.9850 0.7500 0.8100  4 Co 2.83-2.90, 6 Si 2.90-3.13
Co: 0.1485 0.7500 0.4341  4 Si 2.36-2.51
Co: 0.3515 0.2500 0.9341  4 Si 2.36-2.51
Co: 0.6485 0.7500 0.0659  4 Si 2.36-2.51
Co: 0.8515 0.2500 0.5659  4 Si 2.36-2.51
Si: 0.1964 0.2500 0.6048  4 Co 2.36-2.51
Si: 0.3036 0.7500 0.1048  4 Co 2.36-2.51
Si: 0.6964 0.2500 0.8952  4 Co 2.36-2.51
Si: 0.8036 0.7500 0.3952  4 Co 2.36-2.51

=====

(7)
The following is a PBE calculation of Er3CoSi3 after structural relaxation, from the Alexandria database.

The crystal system is monoclinic. The density of states at the Fermi level comes out at 4.22 states/eV/f.u. The value obtained for the final energy is -6.10 eV/atom.

Cell lengths 5.5834, 5.5834, 13.3427 Å; angles 109.47, 109.47, 43.56 degrees
Last column: nearest neighbours and their distance in Å.
Sites, in units of the cell vectors:
Er: 0.0245 0.0245 0.3794  6 Si 2.85-3.08, 4 Co 2.88-3.09
Er: 0.1003 0.1003 0.9193  7 Si 2.91-3.07
Er: 0.2471 0.2471 0.2286  6 Si 2.83-3.11
Er: 0.7529 0.7529 0.7714  6 Si 2.83-3.11
Er: 0.8997 0.8997 0.0807  7 Si 2.91-3.07
Er: 0.9755 0.9755 0.6206  6 Si 2.85-3.08, 4 Co 2.88-3.09
Co: 0.2523 0.2523 0.5824  4 Si 2.34-2.49
Co: 0.7477 0.7477 0.4176  4 Si 2.34-2.49
Si: 0.3609 0.3609 0.4561  3 Co 2.34-2.35
Si: 0.3843 0.3843 0.9241  2 Si 2.52
Si: 0.4472 0.4472 0.7581  1 Co 2.49, 1 Si 2.52
Si: 0.5528 0.5528 0.2419  1 Co 2.49, 1 Si 2.52
Si: 0.6157 0.6157 0.0759  2 Si 2.52
Si: 0.6391 0.6391 0.5439  3 Co 2.34-2.35

=====

(8)
The following is a PBE calculation of ErCo6Si4 after structural relaxation, from the Alexandria database.

The crystal system is hexagonal. The density of states at the Fermi level comes out at 6.77 states/eV/f.u. The value obtained for the final energy is -6.91 eV/atom.

Cell lengths 6.5878, 6.5878, 3.5948 Å; angles 90.00, 90.00, 120.00 degrees
Last column: nearest neighbours and their distance in Å.
Sites, in units of the cell vectors:
Er: 0.0000 0.0000 0.0000  6 Si 2.89, 6 Co 2.95
Co: 0.2045 0.4090 0.5000  4 Si 2.30-2.32, 2 Co 2.55
Co: 0.2045 0.7955 0.5000  4 Si 2.30-2.32, 2 Co 2.55
Co: 0.5342 0.0684 0.0000  5 Si 2.29-2.36
Co: 0.5342 0.4658 0.0000  5 Si 2.29-2.36
Co: 0.5910 0.7955 0.5000  4 Si 2.30-2.32, 2 Co 2.55
Co: 0.9316 0.4658 0.0000  5 Si 2.29-2.36
Si: 0.3333 0.6667 0.0000  9 Co 2.29-2.32
Si: 0.3973 0.1987 0.5000  6 Co 2.30-2.36
Si: 0.8013 0.1987 0.5000  6 Co 2.30-2.36
Si: 0.8013 0.6027 0.5000  6 Co 2.30-2.36